[1]
Density functional theory data (PBE+U) for crystalline CeMnO3 at its relaxed geometry.

```
CeMnO3
1.0
3.399 -1.184 0.001
-1.461 6.134 0.003
-0.005 0.000 7.492
O Ce Mn
6 2 2
direct
0.249 0.423 0.640
0.197 0.382 0.041
0.711 0.381 0.340
0.197 0.882 0.422
0.711 0.881 0.123
0.249 0.923 0.822
0.454 0.133 0.090
0.454 0.633 0.372
0.520 0.688 0.856
0.520 0.188 0.607
```

Values from the calculation:
Uncorrected energy in eV/atom: -8.281
SG: Pc (7)


[2]
Density functional theory data (PBE+U) for crystalline Ce3Mn5O12 at its relaxed geometry.

```
Ce3Mn5O12
1.0
11.064 0.000 0.000
-3.688 10.431 0.000
-3.688 -5.215 9.033
O Ce Mn
48 12 20
direct
0.289 0.870 0.961
0.672 0.461 0.591
0.211 0.672 0.081
0.539 0.211 0.130
0.539 0.328 0.909
0.581 0.870 0.409
0.172 0.081 0.711
0.370 0.409 0.081
0.289 0.419 0.828
0.328 0.539 0.409
0.419 0.130 0.591
0.672 0.211 0.581
0.909 0.081 0.870
0.870 0.581 0.909
0.091 0.172 0.461
0.961 0.370 0.289
0.870 0.289 0.461
0.370 0.961 0.789
0.591 0.961 0.672
0.828 0.909 0.039
0.091 0.919 0.130
0.919 0.828 0.789
0.081 0.909 0.370
0.711 0.581 0.172
0.919 0.091 0.630
0.909 0.828 0.539
0.828 0.919 0.289
0.630 0.039 0.211
0.591 0.630 0.419
0.211 0.539 0.630
0.409 0.370 0.581
0.789 0.328 0.919
0.461 0.672 0.091
0.630 0.591 0.919
0.328 0.789 0.419
0.961 0.591 0.172
0.409 0.039 0.328
0.130 0.419 0.091
0.039 0.630 0.711
0.039 0.409 0.828
0.172 0.091 0.961
0.130 0.711 0.539
0.081 0.172 0.211
0.581 0.711 0.672
0.711 0.130 0.039
0.461 0.789 0.870
0.789 0.461 0.370
0.419 0.289 0.328
0.250 0.125 0.375
0.125 0.875 0.750
0.375 0.625 0.250
0.625 0.250 0.375
0.625 0.375 0.750
0.750 0.875 0.625
0.875 0.750 0.125
0.125 0.250 0.875
0.250 0.625 0.875
0.750 0.375 0.125
0.375 0.750 0.625
0.875 0.125 0.250
0.750 0.125 0.875
0.125 0.750 0.375
0.500 0.500 0.000
0.500 0.500 0.500
0.625 0.875 0.250
0.375 0.250 0.125
0.500 0.000 0.500
0.750 0.625 0.375
0.000 0.500 0.500
0.000 0.000 0.500
0.125 0.375 0.250
0.375 0.125 0.750
0.625 0.750 0.875
0.000 0.000 0.000
0.875 0.250 0.625
0.500 0.000 0.000
0.250 0.875 0.125
0.000 0.500 0.000
0.250 0.375 0.625
0.875 0.625 0.750
```

Values from the calculation:
Uncorrected energy in eV/atom: -8.087
SG: Ia-3d (230)


[3]
Density functional theory data (PBE+U) for crystalline CeMn2O4 at its relaxed geometry.

```
CeMn2O4
1.0
3.675 0.003 0.000
1.833 5.384 2.066
0.000 -0.461 5.428
O Mn Ce
4 2 1
direct
0.451 0.098 0.209
0.164 0.673 0.337
0.549 0.902 0.791
0.836 0.327 0.663
0.644 0.713 0.522
0.356 0.287 0.478
0.000 0.000 0.000
```

Values from the calculation:
Uncorrected energy in eV/atom: -8.166
SG: C2/m (12)